Crystalline Te5As4Cl2 at its relaxed geometry, computed with PBE.

Calculated values
Total moment, μB per formula unit: 0.00
Fermi-level density of states, states/eV/f.u.: 2.24
Formation energy (no corrections), eV/atom: -0.081

Cell: 27.780 4.190 6.986 Å, 90.00 103.18 90.00°
Space group C2/m (No. 12)
Inequivalent atoms, fractional coordinates:
Te1 0.000 0.000 0.000
Te2 0.153 0.500 0.120
Te3 0.229 0.500 0.708
As1 0.064 0.500 0.194
As2 0.189 0.000 0.420
Cl1 0.082 0.500 0.527